(1)
The following is a DFT calculation (GGA-PBE) of a geometry-optimized CaTb5Cu6 structure.

Structure (extended XYZ):
```
12
Lattice="-4.431 -1.779 1.261 -1.077 -1.990 -6.593 0.859 -7.491 2.121" Properties=species:S:1:pos:R:3 pbc="T T T"
Cu -2.501 -1.416 -1.114
Cu -0.473 -5.724 -0.067
Cu -1.003 -6.703 -3.311
Cu -3.646 -4.558 0.100
Cu -3.008 -2.353 -4.218
Cu -4.176 -5.537 -3.144
Tb -2.373 -6.200 2.259
Tb -2.916 -7.184 -1.040
Tb -1.200 -3.071 1.123
Tb -1.733 -4.077 -2.171
Tb -0.539 -0.995 -3.296
Ca 0.000 0.000 0.000
```

Output
space-group type = Cmmm (65)
energy of formation = -0.213 eV/atom

=====

(2)
The following is a DFT calculation (GGA-PBE) of a geometry-optimized CaTbCu2 structure.

Structure (extended XYZ):
```
4
Lattice="3.534 0.000 0.000 0.000 3.534 0.000 0.000 0.000 7.068" Properties=species:S:1:pos:R:3 pbc="T T T"
Cu 0.000 0.000 1.546
Cu 0.000 0.000 5.522
Ca 1.767 1.767 3.534
Tb 1.767 1.767 0.000
```

Output
space-group type = P4/mmm (123)
energy of formation = -0.166 eV/atom

=====

(3)
The following is a DFT calculation (GGA-PBE) of a geometry-optimized Ca2TbCu9 structure.

Structure (extended XYZ):
```
12
Lattice="-4.205 1.043 2.809 -4.594 0.474 -2.308 -4.298 -7.750 1.188" Properties=species:S:1:pos:R:3 pbc="T T T"
Cu -10.159 -6.706 1.517
Cu -6.272 -5.521 -0.201
Cu -8.356 -5.004 1.191
Cu -2.939 0.473 0.171
Cu -6.826 -0.713 1.889
Cu -6.549 -3.117 0.844
Cu -4.742 -1.229 0.497
Cu -7.018 -0.994 -0.647
Cu -6.079 -5.239 2.335
Ca -3.719 -4.245 0.754
Ca -9.379 -1.988 0.934
Tb 0.000 0.000 0.000
```

Output
space-group type = R-3m (166)
energy of formation = -0.145 eV/atom

=====

(4)
The following is a DFT calculation (GGA-PBE) of a geometry-optimized CaTb4Cu5 structure.

Structure (extended XYZ):
```
10
Lattice="3.485 0.000 0.000 0.000 3.485 0.000 0.000 0.000 17.660" Properties=species:S:1:pos:R:3 pbc="T T T"
Ca 0.000 0.000 0.000
Cu 1.742 1.742 5.315
Cu 1.742 1.742 12.345
Cu 1.742 1.742 15.693
Cu 1.742 1.742 1.967
Cu 1.742 1.742 8.830
Tb 0.000 0.000 14.096
Tb 0.000 0.000 7.084
Tb 0.000 0.000 3.564
Tb 0.000 0.000 10.576
```

Output
space-group type = P4/mmm (123)
energy of formation = -0.209 eV/atom

=====

(5)
The following is a DFT calculation (GGA-PBE) of a geometry-optimized CaTbCu2 structure.

Structure (extended XYZ):
```
4
Lattice="-0.127 2.251 -3.171 -2.534 -2.964 -2.003 -4.275 1.302 3.483" Properties=species:S:1:pos:R:3 pbc="T T T"
Cu -2.414 0.762 1.927
Cu -4.851 -0.063 1.433
Tb -3.159 0.079 -0.916
Ca -4.327 2.924 1.147
```

Output
space-group type = Amm2 (38)
energy of formation = -0.171 eV/atom

=====

(6)
The following is a DFT calculation (GGA-PBE) of a geometry-optimized CaTbCuTe3 structure.

Structure (extended XYZ):
```
12
Lattice="-4.218 0.012 0.566 0.996 -4.132 7.509 0.398 9.605 2.759" Properties=species:S:1:pos:R:3 pbc="T T T"
Cu -2.076 0.210 8.521
Cu -0.748 5.276 2.313
Ca -0.754 1.830 2.338
Ca -2.070 3.656 8.495
Te -0.135 5.695 6.874
Te -2.716 3.992 3.674
Te -0.640 7.854 3.060
Te -0.108 1.494 7.159
Te -2.689 -0.210 3.960
Te -2.184 -2.369 7.773
Tb -0.313 -1.160 5.689
Tb -2.511 6.645 5.144
```

Output
space-group type = P2_1/m (11)
formation energy (no corrections) = -6.88 eV per formula unit

=====

(7)
The following is a DFT calculation (GGA-PBE) of a geometry-optimized CaTbZnCu structure.

Structure (extended XYZ):
```
4
Lattice="-1.379 2.066 2.575 -3.041 0.292 -1.863 -2.573 -5.817 3.289" Properties=species:S:1:pos:R:3 pbc="T T T"
Tb -3.799 -2.413 2.387
Ca -2.474 0.582 0.694
Zn -0.968 -2.188 1.237
Cu -2.140 -4.837 2.736
```

Output
space-group type = P4mm (99)
energy above the most stable polymorph in this dataset = 0 meV per atom
energy of formation = -0.223 eV/atom

=====

(8)
The following is a DFT calculation (GGA-PBE) of a geometry-optimized CaTbZnCu structure.

Structure (extended XYZ):
```
4
Lattice="-1.207 -4.394 -2.143 3.190 -3.888 0.259 -1.112 -3.982 2.875" Properties=species:S:1:pos:R:3 pbc="T T T"
Tb 0.000 0.000 0.000
Zn 0.218 -3.066 0.248
Ca 0.436 -6.132 0.496
Cu 0.654 -9.198 0.743
```

Output
space-group type = F-43m (216)
energy above the most stable polymorph in this dataset = 26 meV per atom
energy of formation = -0.197 eV/atom

=====

(9)
The following is a DFT calculation (GGA-PBE) of a geometry-optimized Ca4CuTc structure.

Structure (extended XYZ):
```
6
Lattice="5.425 0.220 3.185 0.222 -1.963 5.977 3.016 -5.331 1.452" Properties=species:S:1:pos:R:3 pbc="T T T"
Ca 5.973 -2.535 5.575
Ca 3.353 -3.635 6.981
Ca 4.760 -5.331 4.702
Ca 3.241 -2.646 3.971
Tc 0.000 0.000 0.000
Cu 6.498 -5.305 7.960
```

Output
space-group type = F-43m (216)
energy of formation = 1.103 eV/atom

=====

(10)
The following is a DFT calculation (GGA-PBE) of a geometry-optimized CaCuTc structure.

Structure (extended XYZ):
```
3
Lattice="-0.440 0.510 5.755 0.789 -3.743 4.353 1.884 2.658 -4.792" Properties=species:S:1:pos:R:3 pbc="T T T"
Tc 0.246 -2.276 7.116
Cu 0.104 -0.964 3.014
Ca 0.348 -3.226 10.086
```

Output
space-group type = Imm2 (44)
energy above the most stable polymorph in this dataset = 0 meV per atom
energy of formation = 0.459 eV/atom

=====

(11)
The following is a DFT calculation (GGA-PBE) of a geometry-optimized Ca2CuTc structure.

Structure (extended XYZ):
```
4
Lattice="-0.911 -4.015 -6.483 3.188 -3.127 -6.248 1.603 -6.331 -4.042" Properties=species:S:1:pos:R:3 pbc="T T T"
Ca 0.142 -0.494 -0.616
Ca 0.828 -2.874 -3.578
Tc 3.073 -10.670 -13.284
Cu 1.777 -6.170 -7.682
```

Output
space-group type = R3m (160)
energy above the most stable polymorph in this dataset = 0 meV per atom
energy of formation = 0.343 eV/atom

=====

(12)
The following is a DFT calculation (GGA-PBE) of a geometry-optimized CaCu2Tc structure.

Structure (extended XYZ):
```
4
Lattice="4.595 0.000 0.000 0.000 2.835 -0.223 0.000 0.381 4.838" Properties=species:S:1:pos:R:3 pbc="T T T"
Cu 2.297 0.476 1.520
Cu 0.000 0.718 4.581
Tc 0.000 1.927 1.834
Ca 2.297 2.084 3.824
```

Output
space-group type = Pmm2 (25)
energy above the most stable polymorph in this dataset = 22 meV per atom
energy of formation = 0.340 eV/atom

=====

(13)
The following is a DFT calculation (GGA-PBE) of a geometry-optimized CaCu2Tc structure.

Structure (extended XYZ):
```
4
Lattice="0.000 3.236 3.236 3.236 0.000 3.236 3.236 3.236 0.000" Properties=species:S:1:pos:R:3 pbc="T T T"
Tc 3.236 3.236 3.236
Ca 0.000 0.000 0.000
Cu 4.854 4.854 4.854
Cu 1.618 1.618 1.618
```

Output
space-group type = Fm-3m (225)
energy above the most stable polymorph in this dataset = 128 meV per atom
energy of formation = 0.447 eV/atom

=====

(14)
The following is a DFT calculation (GGA-PBE) of a geometry-optimized CaCu2Tc structure.

Structure (extended XYZ):
```
4
Lattice="5.588 0.004 0.011 2.821 4.824 -0.011 -3.503 -3.636 2.395" Properties=species:S:1:pos:R:3 pbc="T T T"
Cu 3.224 -0.563 1.203
Cu 8.179 4.697 0.000
Tc 4.428 2.543 0.000
Ca 1.687 1.758 1.192
```

Output
space-group type = Imm2 (44)
energy above the most stable polymorph in this dataset = 81 meV per atom
energy of formation = 0.400 eV/atom

=====

(15)
The following is a DFT calculation (GGA-PBE) of a geometry-optimized CaCu2Tc structure.

Structure (extended XYZ):
```
4
Lattice="-5.300 -7.446 -1.968 -4.253 -6.953 -4.579 -2.757 -8.512 -2.712" Properties=species:S:1:pos:R:3 pbc="T T T"
Cu -6.247 -11.625 -4.699
Cu -12.220 -22.741 -9.191
Ca -9.233 -17.183 -6.945
Tc -3.078 -5.728 -2.315
```

Output
space-group type = R-3m (166)
energy above the most stable polymorph in this dataset = 329 meV per atom
energy of formation = 0.648 eV/atom

=====

(16)
The following is a DFT calculation (GGA-PBE) of a geometry-optimized CaCu2Tc structure.

Structure (extended XYZ):
```
4
Lattice="-8.081 -3.648 1.836 -6.961 -3.621 4.517 -8.271 -1.250 3.466" Properties=species:S:1:pos:R:3 pbc="T T T"
Cu -23.073 -8.432 9.717
Cu -5.879 -2.148 2.476
Tc -11.880 -4.341 5.003
Ca -17.450 -6.377 7.349
```

Output
space-group type = R3m (160)
energy above the most stable polymorph in this dataset = 284 meV per atom
energy of formation = 0.602 eV/atom

=====

(17)
The following is a DFT calculation (GGA-PBE) of a geometry-optimized CaCu2Tc structure.

Structure (extended XYZ):
```
4
Lattice="4.686 -0.007 -0.017 3.915 2.576 -0.017 0.667 0.199 5.645" Properties=species:S:1:pos:R:3 pbc="T T T"
Tc 6.952 2.077 4.208
Ca 2.317 0.692 1.403
Cu 4.589 1.371 3.192
Cu 0.713 0.213 5.258
```

Output
space-group type = C2/m (12)
energy above the most stable polymorph in this dataset = 82 meV per atom
energy of formation = 0.400 eV/atom

=====

(18)
The following is a DFT calculation (GGA-PBE) of a geometry-optimized Ca2CuTc structure.

Structure (extended XYZ):
```
4
Lattice="-7.961 -4.659 -1.517 -7.028 -6.001 1.407 -8.712 -3.106 1.354" Properties=species:S:1:pos:R:3 pbc="T T T"
Tc -17.776 -10.324 0.933
Ca -0.020 -0.012 0.001
Ca -11.830 -6.871 0.621
Cu -5.925 -3.441 0.311
```

Output
space-group type = R-3m (166)
energy above the most stable polymorph in this dataset = 272 meV per atom
energy of formation = 0.616 eV/atom

=====

(19)
The following is a DFT calculation (GGA-PBE) of a geometry-optimized Ca2CuTc structure.

Structure (extended XYZ):
```
4
Lattice="2.162 -4.096 -1.925 0.134 -4.250 2.660 -2.820 -3.911 -1.379" Properties=species:S:1:pos:R:3 pbc="T T T"
Ca -0.393 -9.193 -0.483
Ca -0.131 -3.064 -0.161
Tc -0.262 -6.129 -0.322
Cu 0.000 0.000 0.000
```

Output
space-group type = Fm-3m (225)
energy above the most stable polymorph in this dataset = 225 meV per atom
energy of formation = 0.569 eV/atom

=====

(20)
The following is a DFT calculation (GGA-PBE) of a geometry-optimized Ca2Cu2Tc structure.

Structure (extended XYZ):
```
10
Lattice="-0.633 -3.155 -5.893 6.659 0.211 -0.828 0.387 -3.992 2.096" Properties=species:S:1:pos:R:3 pbc="T T T"
Cu 5.556 -0.982 -2.897
Cu 2.377 -0.334 -1.075
Cu 3.649 -2.610 -5.645
Cu 0.471 -1.962 -3.824
Ca 4.617 -2.425 -0.586
Ca 1.201 -2.962 -0.979
Ca 1.797 -4.511 -4.039
Ca 5.213 -3.973 -3.646
Tc 0.000 0.000 0.000
Tc 3.013 -1.472 -3.360
```

Output
space-group type = P4/mbm (127)
energy of formation = 0.274 eV/atom

=====

(21)
The following is a DFT calculation (GGA-PBE) of a geometry-optimized Ca2CuTc structure.

Structure (extended XYZ):
```
4
Lattice="-0.893 2.613 -4.059 -4.435 -0.163 -2.098 -2.956 3.914 0.202" Properties=species:S:1:pos:R:3 pbc="T T T"
Ca -2.071 1.591 -1.489
Ca 0.000 0.000 0.000
Tc -6.214 4.773 -4.466
Cu -4.142 3.182 -2.977
```

Output
space-group type = F-43m (216)
energy above the most stable polymorph in this dataset = 272 meV per atom
energy of formation = 0.616 eV/atom

=====

(22)
The following is a DFT calculation (GGA-PBE) of a geometry-optimized Ca2CuTc structure.

Structure (extended XYZ):
```
4
Lattice="-2.317 1.872 1.584 -0.325 -2.395 2.353 6.018 3.624 4.521" Properties=species:S:1:pos:R:3 pbc="T T T"
Ca 0.659 0.930 3.455
Ca 5.568 3.353 4.183
Tc 2.778 2.207 5.048
Cu 3.398 2.046 2.552
```

Output
space-group type = P4mm (99)
energy above the most stable polymorph in this dataset = 30 meV per atom
energy of formation = 0.373 eV/atom

=====

(23)
The following is a DFT calculation (GGA-PBE) of a geometry-optimized Ca2CuTc structure.

Structure (extended XYZ):
```
4
Lattice="6.131 0.008 0.001 3.211 5.222 -0.001 -4.104 -3.627 2.754" Properties=species:S:1:pos:R:3 pbc="T T T"
Tc 2.271 2.319 1.376
Ca 3.118 -0.631 1.377
Ca 0.151 0.085 0.000
Cu 4.368 2.446 0.000
```

Output
space-group type = Imm2 (44)
energy above the most stable polymorph in this dataset = 47 meV per atom
energy of formation = 0.390 eV/atom

=====

(24)
The following is a DFT calculation (GGA-PBE) of a geometry-optimized CaCuTc structure.

Structure (extended XYZ):
```
3
Lattice="-2.422 -3.686 0.850 2.022 -4.001 0.281 0.363 -2.058 3.976" Properties=species:S:1:pos:R:3 pbc="T T T"
Ca -0.018 -4.872 2.554
Cu -0.028 -7.309 3.830
Tc 0.000 0.000 0.000
```

Output
space-group type = F-43m (216)
energy above the most stable polymorph in this dataset = 391 meV per atom
energy of formation = 0.850 eV/atom

=====

(25)
The following is a DFT calculation (GGA-PBE) of a geometry-optimized Ca2CuTc structure.

Structure (extended XYZ):
```
4
Lattice="-0.273 -2.993 4.222 4.624 0.902 2.161 -3.463 3.556 -1.492" Properties=species:S:1:pos:R:3 pbc="T T T"
Ca 4.350 -2.091 6.383
Ca 2.176 -1.046 3.192
Cu -0.781 -0.242 2.961
Tc 1.668 1.706 1.931
```

Output
space-group type = I4/mmm (139)
energy above the most stable polymorph in this dataset = 201 meV per atom
energy of formation = 0.544 eV/atom

=====

(26)
The following is a DFT calculation (GGA-PBE) of a geometry-optimized Ca2CuTc structure.

Structure (extended XYZ):
```
4
Lattice="-5.083 1.029 -1.821 -3.867 -2.441 3.050 4.332 3.171 1.178" Properties=species:S:1:pos:R:3 pbc="T T T"
Ca 0.000 0.000 0.000
Ca -2.005 0.012 2.421
Tc -2.613 1.747 -0.015
Cu -4.475 -0.706 0.614
```

Output
space-group type = I-4m2 (119)
energy above the most stable polymorph in this dataset = 244 meV per atom
energy of formation = 0.588 eV/atom

=====

(27)
The following is a DFT calculation (GGA-PBE) of a geometry-optimized Ca2CuTc structure.

Structure (extended XYZ):
```
4
Lattice="-2.755 1.776 0.346 -0.299 -1.068 3.104 4.352 6.253 2.571" Properties=species:S:1:pos:R:3 pbc="T T T"
Cu -0.439 1.917 2.367
Ca 0.003 0.005 0.002
Ca 2.173 3.121 1.283
Tc 1.737 5.043 3.653
```

Output
space-group type = P4/mmm (123)
energy above the most stable polymorph in this dataset = 92 meV per atom
energy of formation = 0.436 eV/atom

=====

(28)
The following is a DFT calculation (GGA-PBE) of a geometry-optimized CaCuTc3 structure.

Structure (extended XYZ):
```
5
Lattice="-4.450 0.996 -0.517 -0.852 -4.373 -1.099 -0.732 -0.970 4.425" Properties=species:S:1:pos:R:3 pbc="T T T"
Tc -0.426 -2.187 -0.550
Tc -0.366 -0.485 2.213
Tc -2.225 0.498 -0.259
Ca -3.016 -2.173 1.404
Cu 0.000 0.000 0.000
```

Output
space-group type = Pm-3m (221)
energy of formation = 1.407 eV/atom

=====

Number 1: spin magnetization 0.00 μB per formula unit. Number 2: spin magnetization 0.00 μB per formula unit. Number 3: spin magnetization 0.00 μB per formula unit. Number 4: spin magnetization 0.00 μB per formula unit. Number 5: spin magnetization 0.00 μB per formula unit. Number 6: spin magnetization 0.00 μB per formula unit. Number 7: spin magnetization 0.00 μB per formula unit. Number 8: spin magnetization 0.00 μB per formula unit. Number 9: spin magnetization 2.00 μB per formula unit. Number 10: spin magnetization 0.00 μB per formula unit. Number 11: spin magnetization 1.49 μB per formula unit. Number 12: spin magnetization 0.00 μB per formula unit. Number 13: spin magnetization 2.22 μB per formula unit. Number 14: spin magnetization 0.00 μB per formula unit. Number 15: spin magnetization 0.40 μB per formula unit. Number 16: spin magnetization 0.13 μB per formula unit. Number 17: spin magnetization 0.00 μB per formula unit. Number 18: spin magnetization 1.10 μB per formula unit. Number 19: spin magnetization 1.90 μB per formula unit. Number 20: spin magnetization 1.41 μB per formula unit. Number 21: spin magnetization 1.56 μB per formula unit. Number 22: spin magnetization 1.14 μB per formula unit. Number 23: spin magnetization 0.85 μB per formula unit. Number 24: spin magnetization 2.54 μB per formula unit. Number 25: spin magnetization 1.36 μB per formula unit. Number 26: spin magnetization 1.48 μB per formula unit. Number 27: spin magnetization 1.49 μB per formula unit. Number 28: spin magnetization 0.00 μB per formula unit.